A relaxed structure of Pr2TmPaN4, computed with PBE-GGA.

total moment: 0.0 μB/f.u.
ΔE_f (raw): -1.570 eV per atom
total DFT energy (no corrections): -8.673 eV/atom

Lattice parameters (Å, degrees): 6.0818 3.5651 6.2453 90.00 108.91 90.00
Space group P2/m (No. 10)
Unique sites:
1 Pr 0.0000 0.0000 0.0000
2 Pr 0.5000 0.5000 0.0000
3 Tm 0.0000 0.5000 0.5000
4 Pa 0.5000 0.0000 0.5000
5 N 0.2506 0.0000 0.7168
6 N 0.2677 0.5000 0.2865

A relaxed structure of BePtSe, computed with PBE-GGA.

total moment: 0.0 μB/f.u.
ΔE_f (raw): -0.307 eV per atom
total DFT energy (no corrections): -4.724 eV/atom

Lattice parameters (Å, degrees): 4.5782 4.7438 4.6184 90.00 92.56 90.00
Space group P2 (No. 3)
Unique sites:
1 Be 0.1956 0.0000 0.1892
2 Pt 0.2595 0.8078 0.7372
3 Se 0.0000 0.4438 0.0000
4 Se 0.5000 0.2187 0.5000

A relaxed structure of YSiIrCl2, computed with PBE-GGA.

total moment: 0.0 μB/f.u.
energy above the most stable polymorph in this dataset: 362 meV/atom
ΔE_f (raw): 0.176 eV per atom
total DFT energy (no corrections): -4.712 eV/atom

Lattice parameters (Å, degrees): 4.6636 4.6636 5.6598 90.00 90.00 90.00
Space group P4/mmm (No. 123)
Unique sites:
1 Y 0.0000 0.0000 0.0000
2 Si 0.5000 0.5000 0.0000
3 Ir 0.0000 0.0000 0.5000
4 Cl 0.0000 0.5000 0.5000

A relaxed structure of Pu12HgRh7, computed with PBE-GGA.

total moment: 65.1 μB/f.u.
E_form: -0.10 eV/atom
total DFT energy (no corrections): -11.286 eV/atom

Lattice parameters (Å, degrees): 10.2124 10.2124 10.2124 90.00 90.00 90.00
Space group Im-3 (No. 204)
Unique sites:
1 Pu 0.0000 0.3143 0.1891
2 Hg 0.0000 0.0000 0.0000
3 Rh 0.0000 0.0000 0.5000
4 Rh 0.2500 0.2500 0.2500